Entry from Alexandria via LeMat-Bulk: FeMoAu2 after structural relaxation (PBE).

a = 2.8981 Å, b = 4.6549 Å, c = 4.8353 Å
α = 90.00°, β = 90.00°, γ = 90.00°
With the nearest neighbours (Å) after each atom.
Sites, in units of the cell vectors:
Au 0.0000 0.0000 0.0000  6 Au 2.74-2.90, 4 Fe 2.82
Au 0.5000 0.5000 0.0000  6 Au 2.74-2.90, 4 Mo 2.82
Fe 0.5000 0.0000 0.5000  4 Mo 2.74, 4 Au 2.82, 2 Fe 2.90
Mo 0.0000 0.5000 0.5000  4 Fe 2.74, 4 Au 2.82, 2 Mo 2.90

Properties
The density of states at the Fermi level is 1.008 states/eV/atom. The total magnetization comes out at 2.4 μB per cell. The calculation puts the total energy at -0.441 Ry per atom. The formation energy is 0.46 eV per atom.

Entry from Alexandria via LeMat-Bulk: FeMoAu2 after structural relaxation (PBE).

a = 4.8892 Å, b = 4.8892 Å, c = 4.8892 Å
α = 131.54°, β = 131.45°, γ = 71.03°
With the nearest neighbours (Å) after each atom.
Sites, in units of the cell vectors:
Au 0.9999 0.9999 0.0000  4 Fe 2.83, 4 Mo 2.83, 4 Au 2.84
Au 0.5001 0.5001 0.0000  4 Fe 2.83, 4 Mo 2.83, 4 Au 2.84
Fe 0.7500 0.2500 0.5000  8 Au 2.83, 4 Mo 2.84
Mo 0.2500 0.7500 0.5000  8 Au 2.83, 4 Fe 2.84

Properties
The density of states at the Fermi level is 1.161 states/eV/atom. The total magnetization comes out at 1.8 μB per cell. The calculation puts the total energy at -0.449 Ry per atom. The formation energy is 0.35 eV per atom.

Entry from Alexandria via LeMat-Bulk: FeMo4Au after structural relaxation (PBE).

a = 5.1884 Å, b = 5.1884 Å, c = 5.1884 Å
α = 60.00°, β = 60.00°, γ = 60.00°
With the nearest neighbours (Å) after each atom.
Sites, in units of the cell vectors:
Fe 0.0000 0.0000 0.0000  12 Mo 3.04, 4 Au 3.18
Mo 0.8756 0.3748 0.3748  6 Mo 2.59-2.60
Mo 0.3748 0.3748 0.8756  6 Mo 2.59-2.60
Mo 0.3748 0.8756 0.3748  6 Mo 2.59-2.60
Mo 0.3748 0.3748 0.3748  6 Mo 2.59-2.60
Au 0.7500 0.7500 0.7500  12 Mo 3.04, 4 Fe 3.18

Properties
The density of states at the Fermi level is 0.755 states/eV/atom. The total magnetization comes out at 1.9 μB per cell. The calculation puts the total energy at -0.640 Ry per atom. The formation energy is 0.47 eV per atom.

Entry from Alexandria via LeMat-Bulk: FeMoAu2 after structural relaxation (PBE).

a = 7.2308 Å, b = 7.2308 Å, c = 5.7298 Å
α = 50.88°, β = 50.88°, γ = 90.00°
With the nearest neighbours (Å) after each atom.
Sites, in units of the cell vectors:
Mo 0.0000 0.0000 0.0000  2 Fe 2.59, 4 Au 2.77
Mo 0.7500 0.2500 0.5000  2 Fe 2.59, 4 Au 2.77
Au 0.5997 0.1250 0.2500  2 Fe 2.51, 2 Au 2.61, 2 Mo 2.77
Au 0.1503 0.6250 0.2500  2 Fe 2.51, 2 Au 2.61, 2 Mo 2.77
Au 0.3750 0.4003 0.7500  2 Fe 2.51, 2 Au 2.61, 2 Mo 2.77
Au 0.8750 0.8497 0.7500  2 Fe 2.51, 2 Au 2.61, 2 Mo 2.77
Fe 0.5000 0.5000 0.0000  4 Au 2.51, 2 Mo 2.59
Fe 0.2500 0.7500 0.5000  4 Au 2.51, 2 Mo 2.59

Properties
The density of states at the Fermi level is 2.246 states/eV/atom. The total magnetization comes out at 0.0 μB per cell. The calculation puts the total energy at -0.407 Ry per atom. The formation energy is 0.93 eV per atom.

Entry from Alexandria via LeMat-Bulk: FeMo2Au after structural relaxation (PBE).

a = 3.2495 Å, b = 3.2506 Å, c = 5.8713 Å
α = 90.00°, β = 90.00°, γ = 90.00°
With the nearest neighbours (Å) after each atom.
Sites, in units of the cell vectors:
Au 0.0000 0.0000 0.5170  4 Fe 2.70, 5 Mo 2.81-2.85
Fe 0.5000 0.5000 0.7587  5 Mo 2.69-2.76, 4 Au 2.70
Mo 0.0000 0.0000 0.9958  4 Mo 2.67, 4 Fe 2.69, 1 Au 2.81
Mo 0.5000 0.5000 0.2286  4 Mo 2.67, 1 Fe 2.76, 4 Au 2.85

Properties
The density of states at the Fermi level is 0.845 states/eV/atom. The total magnetization comes out at 2.5 μB per cell. The calculation puts the total energy at -0.598 Ry per atom. The formation energy is 0.21 eV per atom.

Entry from Alexandria via LeMat-Bulk: FeMo3Au after structural relaxation (PBE).

a = 4.4460 Å, b = 4.4460 Å, c = 4.4460 Å
α = 90.00°, β = 90.00°, γ = 90.00°
With the nearest neighbours (Å) after each atom.
Sites, in units of the cell vectors:
Mo 0.0000 0.5000 0.0000  2 Fe 2.22
Mo 0.0000 0.0000 0.5000  2 Fe 2.22
Mo 0.5000 0.0000 0.0000  2 Fe 2.22
Au 0.5000 0.5000 0.5000  12 Mo 3.14
Fe 0.0000 0.0000 0.0000  6 Mo 2.22

Properties
The density of states at the Fermi level is 1.210 states/eV/atom. The total magnetization comes out at 0.0 μB per cell. The calculation puts the total energy at -0.574 Ry per atom. The formation energy is 1.04 eV per atom.

Entry from Alexandria via LeMat-Bulk: FeMoAu2 after structural relaxation (PBE).

a = 4.4616 Å, b = 4.4616 Å, c = 4.4616 Å
α = 60.00°, β = 60.00°, γ = 60.00°
With the nearest neighbours (Å) after each atom.
Sites, in units of the cell vectors:
Mo 0.5000 0.5000 0.5000  8 Au 2.73
Au 0.2500 0.2500 0.2500  4 Fe 2.73, 4 Mo 2.73
Au 0.7500 0.7500 0.7500  4 Mo 2.73, 4 Fe 2.73
Fe 0.0000 0.0000 0.0000  8 Au 2.73

Properties
The density of states at the Fermi level is 2.066 states/eV/atom. The total magnetization comes out at 0.0 μB per cell. The calculation puts the total energy at -0.430 Ry per atom. The formation energy is 0.61 eV per atom.

Entry from Alexandria via LeMat-Bulk: FeMoAu4 after structural relaxation (PBE).

a = 5.4027 Å, b = 5.4027 Å, c = 5.4027 Å
α = 60.00°, β = 60.00°, γ = 60.00°
With the nearest neighbours (Å) after each atom.
Sites, in units of the cell vectors:
Fe 0.7500 0.7500 0.7500  12 Au 3.17, 4 Mo 3.31
Mo 0.0000 0.0000 0.0000  12 Au 3.17, 4 Fe 3.31
Au 0.8747 0.3751 0.3751  6 Au 2.70
Au 0.3751 0.3751 0.8747  6 Au 2.70
Au 0.3751 0.8747 0.3751  6 Au 2.70
Au 0.3751 0.3751 0.3751  6 Au 2.70

Properties
The density of states at the Fermi level is 0.813 states/eV/atom. The total magnetization comes out at 0.1 μB per cell. The calculation puts the total energy at -0.350 Ry per atom. The formation energy is 0.63 eV per atom.